(1)
## Nd2CuSi4Pd3 (PBE)

Data for crystalline Nd2CuSi4Pd3 at its relaxed geometry.

abc: 4.2198 4.2198 9.9994
angles: 90.00 90.00 90.00
With the nearest neighbours (Å) after each atom.
Sites, in units of the cell vectors:
Nd 0.5000 0.0000 0.2508  8 Si 3.21-3.28, 6 Pd 3.25-3.26, 2 Cu 3.26
Nd 0.0000 0.5000 0.7492  8 Si 3.21-3.28, 6 Pd 3.25-3.26, 2 Cu 3.26
Cu 0.5000 0.5000 0.5000  4 Si 2.48
Si 0.5000 0.5000 0.0000  4 Pd 2.44
Si 0.0000 0.0000 0.0000  4 Pd 2.44
Si 0.5000 0.0000 0.6307  3 Pd 2.46-2.48, 2 Cu 2.48
Si 0.0000 0.5000 0.3693  3 Pd 2.46-2.48, 2 Cu 2.48
Pd 0.0000 0.0000 0.5000  4 Si 2.48
Pd 0.5000 0.0000 0.8771  5 Si 2.44-2.46
Pd 0.0000 0.5000 0.1229  5 Si 2.44-2.46

Summary:
final energy: -5.90 eV/atom
volume: 17.81 Å³/atom
DOS at the Fermi energy: 4.240 states/eV per cell

---

(2)
## Nd3Cu2SiPd9 (PBE)

Data for crystalline Nd3Cu2SiPd9 at its relaxed geometry.

abc: 5.7152 5.7152 10.9296
angles: 90.00 90.00 120.00
With the nearest neighbours (Å) after each atom.
Sites, in units of the cell vectors:
Nd 0.3333 0.6667 0.7429  9 Pd 3.06-3.26, 3 Cu 3.42
Nd 0.0000 0.0000 0.0000  6 Pd 2.86
Nd 0.6667 0.3333 0.2571  9 Pd 3.06-3.26, 3 Cu 3.42
Cu 0.3333 0.6667 0.1746  6 Pd 2.52-2.55
Cu 0.6667 0.3333 0.8254  6 Pd 2.52-2.55
Si 0.0000 0.0000 0.5000  6 Pd 2.31
Pd 0.8281 0.1719 0.6434  1 Si 2.31, 1 Cu 2.55
Pd 0.8281 0.6561 0.6434  1 Si 2.31, 1 Cu 2.55
Pd 0.3439 0.1719 0.6434  1 Si 2.31, 1 Cu 2.55
Pd 0.6561 0.8281 0.3566  1 Si 2.31, 1 Cu 2.55
Pd 0.1719 0.3439 0.3566  1 Si 2.31, 1 Cu 2.55
Pd 0.1719 0.8281 0.3566  1 Si 2.31, 1 Cu 2.55
Pd 0.5000 0.0000 0.0000  2 Cu 2.52
Pd 0.0000 0.5000 0.0000  2 Cu 2.52
Pd 0.5000 0.5000 0.0000  2 Cu 2.52

Summary:
final energy: -5.47 eV/atom
volume: 20.61 Å³/atom
DOS at the Fermi energy: 6.298 states/eV per cell

---

(3)
## Nd3CuSi6Pd2 (PBE)

Data for crystalline Nd3CuSi6Pd2 at its relaxed geometry.

abc: 5.8016 5.8016 8.1712
angles: 90.00 90.00 120.00
With the nearest neighbours (Å) after each atom.
Sites, in units of the cell vectors:
Nd 0.3333 0.6667 0.6225  9 Si 3.00-3.08
Nd 0.6667 0.3333 0.3775  9 Si 3.00-3.08
Nd 0.0000 0.0000 0.0000  6 Si 3.04, 6 Pd 3.36
Cu 0.0000 0.0000 0.5000  6 Si 2.59
Si 0.6163 0.8081 0.2875  2 Si 2.46, 1 Pd 2.50, 1 Cu 2.59
Si 0.1918 0.3837 0.2875  2 Si 2.46, 1 Pd 2.50, 1 Cu 2.59
Si 0.1918 0.8081 0.2875  2 Si 2.46, 1 Pd 2.50, 1 Cu 2.59
Si 0.8082 0.6163 0.7125  2 Si 2.46, 1 Pd 2.50, 1 Cu 2.59
Si 0.3837 0.1919 0.7125  2 Si 2.46, 1 Pd 2.50, 1 Cu 2.59
Si 0.8082 0.1919 0.7125  2 Si 2.46, 1 Pd 2.50, 1 Cu 2.59
Pd 0.6667 0.3333 0.9645  3 Si 2.50
Pd 0.3333 0.6667 0.0355  3 Si 2.50

Summary:
final energy: -5.50 eV/atom
volume: 19.85 Å³/atom
DOS at the Fermi energy: 4.831 states/eV per cell